Sc2Al6PdPt: optimized geometry, PBE.

Cell lengths 5.225, 6.439, 6.441 Å; angles 90.95, 113.83, 113.92 degrees
Space group P-1 (No. 2)
Symmetry-distinct sites (fractional):
Sc (0.246, 0.254, 0.238) (multiplicity 2)
Al (0.189, 0.187, 0.690) (multiplicity 2)
Al (0.249, 0.571, 0.927) (multiplicity 2)
Al (0.313, 0.813, 0.311) (multiplicity 2)
Pd (0.000, 0.500, 0.500) (multiplicity 1)
Pt (0.500, 0.000, 0.000) (multiplicity 1)

Values from the calculation:
DFT total energy: -5.20 eV per atom
DFT formation energy: -0.560 eV per atom
Crystal system: triclinic